Entry 1:
YMoIr3: relaxed, PBE.

Structure (POSCAR):
```
YMoIr3
1.0
-1.011 -3.323 3.246
3.442 -2.767 -1.761
3.120 1.975 2.994
Y Mo Ir
1 1 3
direct
0.500 0.500 0.500 Y
0.000 0.000 0.000 Mo
0.000 0.500 0.000 Ir
0.000 0.000 0.500 Ir
0.500 0.000 0.000 Ir
```

Properties
DOS(E_F): 4.22 states/eV per cell
M_tot: 0.0 μB per cell
Formation energy from the elements: 0.5961 eV per atom
Excess energy over the best structure of this formula in the dataset: 0.00 eV/f.u.

***

Entry 2:
RbSnAu2: relaxed, PBE.

Structure (POSCAR):
```
RbSnAu2
1.0
-3.063 -1.776 1.108
2.087 -2.748 1.365
0.362 3.787 7.073
Au Sn Rb
2 1 1
direct
0.000 0.000 0.813 Au
0.000 0.000 0.187 Au
0.500 0.500 0.000 Sn
0.500 0.500 0.500 Rb
```

Properties
DOS(E_F): 1.70 states/eV per cell
M_tot: 0.0 μB per cell
Formation energy from the elements: -0.1058 eV per atom

***

Entry 3:
LaIr3Pd: relaxed, PBE.

Structure (POSCAR):
```
LaIr3Pd
1.0
-1.552 2.468 3.934
-0.058 -4.158 2.586
4.644 0.773 1.347
Ir Pd La
3 1 1
direct
0.000 0.500 0.000 Ir
0.000 0.000 0.500 Ir
0.500 0.000 0.000 Ir
0.500 0.500 0.500 Pd
0.000 0.000 0.000 La
```

Properties
DOS(E_F): 9.79 states/eV per cell
M_tot: 1.4 μB per cell
Formation energy from the elements: 2.0770 eV per atom
Excess energy over the best structure of this formula in the dataset: 5.68 eV/f.u.

***

Entry 4:
MgCu2B2: relaxed, PBE.

Structure (POSCAR):
```
MgCu2B2
1.0
6.162 0.000 0.000
0.000 6.162 0.000
0.000 0.000 2.837
Mg B Cu
2 4 4
direct
0.000 0.000 0.000 Mg
0.500 0.500 0.000 Mg
0.405 0.905 0.000 B
0.905 0.595 0.000 B
0.595 0.095 0.000 B
0.095 0.405 0.000 B
0.217 0.717 0.500 Cu
0.717 0.783 0.500 Cu
0.783 0.283 0.500 Cu
0.283 0.217 0.500 Cu
```

Properties
DOS(E_F): 1.80 states/eV per cell
M_tot: 0.0 μB per cell
Formation energy from the elements: 0.3445 eV per atom
Excess energy over the best structure of this formula in the dataset: 1.19 eV/f.u.

***

Entry 5:
ZnCd7Hg12: relaxed, PBE.

Structure (POSCAR):
```
ZnCd7Hg12
1.0
8.205 0.143 0.214
-2.144 7.921 0.214
-2.144 -2.853 7.393
Zn Cd Hg
1 7 12
direct
0.000 0.000 0.000 Zn
0.122 0.689 0.049 Cd
0.311 0.951 0.878 Cd
0.951 0.878 0.311 Cd
0.500 0.500 0.500 Cd
0.049 0.122 0.689 Cd
0.689 0.049 0.122 Cd
0.878 0.311 0.951 Cd
0.786 0.298 0.560 Hg
0.702 0.440 0.214 Hg
0.375 0.083 0.289 Hg
0.917 0.711 0.625 Hg
0.440 0.214 0.702 Hg
0.711 0.625 0.917 Hg
0.289 0.375 0.083 Hg
0.560 0.786 0.298 Hg
0.083 0.289 0.375 Hg
0.625 0.917 0.711 Hg
0.298 0.560 0.786 Hg
0.214 0.702 0.440 Hg
```

Properties
DOS(E_F): 4.93 states/eV per cell
M_tot: 0.0 μB per cell
Formation energy from the elements: 0.0413 eV per atom
Excess energy over the best structure of this formula in the dataset: 0.00 eV/f.u.

***

Entry 6:
BeCu2Ag: relaxed, PBE.

Structure (POSCAR):
```
BeCu2Ag
1.0
3.779 0.000 0.000
0.000 2.763 -0.068
0.000 1.602 4.818
Be Cu Ag
1 2 1
direct
0.500 0.941 0.751 Be
0.000 0.805 0.006 Cu
0.500 0.204 0.205 Cu
0.000 0.550 0.537 Ag
```

Properties
DOS(E_F): 0.84 states/eV per cell
M_tot: 0.0 μB per cell
Formation energy from the elements: 0.1271 eV per atom

***

Entry 7:
CaSiN2: relaxed, PBE.

Structure (POSCAR):
```
CaSiN2
1.0
5.219 0.000 0.000
0.000 5.344 0.000
0.000 0.000 7.282
Ca Si N
4 4 8
direct
0.983 0.573 0.379 Ca
0.483 0.427 0.621 Ca
0.483 0.927 0.879 Ca
0.983 0.073 0.121 Ca
0.009 0.557 0.874 Si
0.509 0.943 0.374 Si
0.009 0.057 0.626 Si
0.509 0.443 0.126 Si
0.447 0.124 0.177 N
0.447 0.624 0.323 N
0.947 0.876 0.823 N
0.947 0.376 0.677 N
0.835 0.486 0.073 N
0.335 0.514 0.927 N
0.335 0.014 0.573 N
0.835 0.986 0.427 N
```

Properties
DOS(E_F): 0.00 states/eV per cell
M_tot: 0.0 μB per cell
Formation energy (no corrections): -1.23 eV per atom

***

Entry 8:
Tb7Ho2In2: relaxed, PBE.

Structure (POSCAR):
```
Tb7Ho2In2
1.0
-3.467 1.051 0.007
-4.667 -9.136 -1.849
-3.441 -5.159 8.379
Tb Ho In
7 2 2
direct
0.826 0.021 0.328 Tb
0.847 0.480 0.825 Tb
0.500 0.029 0.971 Tb
0.606 0.486 0.302 Tb
0.394 0.698 0.514 Tb
0.174 0.672 0.979 Tb
0.153 0.175 0.520 Tb
0.722 0.866 0.690 Ho
0.278 0.310 0.134 Ho
0.000 0.785 0.215 In
0.500 0.333 0.667 In
```

Properties
DOS(E_F): 13.46 states/eV per cell
M_tot: 0.0 μB per cell
Formation energy from the elements: -0.0396 eV per atom